Below is an optimized crystal structure of HfTiNi4, with properties calculated at the PBE-GGA level.

extended XYZ file:
```
6
Lattice="-3.353 -3.355 0.857 1.309 -4.575 0.767 -0.417 -1.921 4.401" Properties=species:S:1:pos:R:3 pbc="T T T"
Ni 0.134 -4.481 3.336
Ni -1.538 -6.153 3.763
Ni -1.330 -5.196 1.570
Ni -2.190 -3.873 3.381
Hf 0.000 0.000 0.000
Ti -0.615 -2.463 1.506
```

Energy above the lowest structure with this stoichiometry, kJ/mol of formula units: 0.0
Energy of formation, eV/atom: -0.423
Space-group type: F-43m